Pm6NdSm | the Alexandria database | PBE-GGA | relaxed; D(E_F) = 1.5954 states/eV per atom; formation energy = 0.112 eV per formula unit; crystal system = tetragonal; V = 34.4 Å³ per atom; theoretical density = 7.023 g/cm3
1.0
-2.701 -3.568 -2.562
6.195 -2.676 -2.804
0.611 -4.547 5.688
Nd Pm Sm
1 6 1
direct
0.500 0.500 0.500
0.000 0.249 0.751
0.500 0.500 0.000
0.500 0.000 0.500
0.000 0.751 0.249
0.000 0.249 0.249
0.000 0.751 0.751
0.500 0.000 0.000